# 1
Material: LaY2Te
Method: DFT, PBE-GGA
State: relaxed

Computed properties:
* M_tot: 0.000 Bohr magnetons per cell
* uncorrected formation energy: -2.320 eV per formula unit

The structure in CIF format:
```
data_LaY2Te
_chemical_formula_sum 'La1 Y2 Te1'
_symmetry_space_group_name_H-M 'P 4/m m m'
_symmetry_Int_Tables_number 123
_symmetry_space_group_name_Hall '-P 4 2'
_cell_length_a 3.895
_cell_length_b 3.895
_cell_length_c 7.985
_cell_angle_alpha 90.00
_cell_angle_beta 90.00
_cell_angle_gamma 90.00
loop_
_atom_site_label
_atom_site_type_symbol
_atom_site_fract_x
_atom_site_fract_y
_atom_site_fract_z
La1 La 0.000 0.000 0.000
Y1 Y 0.500 0.500 0.283
Te1 Te 0.000 0.000 0.500
```



# 2
Material: LaY2Te
Method: DFT, PBE-GGA
State: relaxed

Computed properties:
* M_tot: 0.101 Bohr magnetons per cell
* uncorrected formation energy: -2.313 eV per formula unit

The structure in CIF format:
```
data_LaY2Te
_chemical_formula_sum 'La2 Y4 Te2'
_symmetry_space_group_name_H-M 'C 1 m 1'
_symmetry_Int_Tables_number 8
_symmetry_space_group_name_Hall 'C -2y'
_cell_length_a 11.882
_cell_length_b 3.887
_cell_length_c 6.569
_cell_angle_alpha 90.00
_cell_angle_beta 121.73
_cell_angle_gamma 90.00
loop_
_atom_site_label
_atom_site_type_symbol
_atom_site_fract_x
_atom_site_fract_y
_atom_site_fract_z
La1 La 0.000 0.000 0.000
Y1 Y 0.086 0.500 0.576
Y2 Y 0.297 0.500 0.197
Te1 Te 0.291 0.000 0.550
```



# 3
Material: LaYTe3
Method: DFT, PBE-GGA
State: relaxed

Computed properties:
* M_tot: 0.000 Bohr magnetons per cell
* relative energy among the computed polymorphs: 0.00 eV/f.u.
* uncorrected formation energy: -7.549 eV per formula unit

The structure in CIF format:
```
data_LaYTe3
_chemical_formula_sum 'La4 Y4 Te12'
_symmetry_space_group_name_H-M 'P n m a'
_symmetry_Int_Tables_number 62
_symmetry_space_group_name_Hall '-P 2ac 2n'
_cell_length_a 8.351
_cell_length_b 4.489
_cell_length_c 17.431
_cell_angle_alpha 90.00
_cell_angle_beta 90.00
_cell_angle_gamma 90.00
loop_
_atom_site_label
_atom_site_type_symbol
_atom_site_fract_x
_atom_site_fract_y
_atom_site_fract_z
La1 La 0.136 0.250 0.200
Y1 Y 0.228 0.750 0.458
Te1 Te 0.006 0.250 0.394
Te2 Te 0.121 0.750 0.062
Te3 Te 0.155 0.250 0.785
```



# 4
Material: LaY2Te
Method: DFT, PBE-GGA
State: relaxed

Computed properties:
* M_tot: 0.003 Bohr magnetons per cell
* uncorrected formation energy: -2.370 eV per formula unit

The structure in CIF format:
```
data_LaY2Te
_chemical_formula_sum 'La2 Y4 Te2'
_symmetry_space_group_name_H-M 'C 1 2/m 1'
_symmetry_Int_Tables_number 12
_symmetry_space_group_name_Hall '-C 2y'
_cell_length_a 13.061
_cell_length_b 3.823
_cell_length_c 5.712
_cell_angle_alpha 90.00
_cell_angle_beta 115.81
_cell_angle_gamma 90.00
loop_
_atom_site_label
_atom_site_type_symbol
_atom_site_fract_x
_atom_site_fract_y
_atom_site_fract_z
La1 La 0.000 0.000 0.000
Y1 Y 0.215 0.000 0.715
Te1 Te 0.000 0.500 0.500
```



# 5
Material: LaYTe2
Method: DFT, PBE-GGA
State: relaxed

Computed properties:
* M_tot: 0.000 Bohr magnetons per cell
* relative energy among the computed polymorphs: 0.58 eV/f.u.
* uncorrected formation energy: -5.256 eV per formula unit

The structure in CIF format:
```
data_LaYTe2
_chemical_formula_sum 'La2 Y2 Te4'
_symmetry_space_group_name_H-M 'A m m 2'
_symmetry_Int_Tables_number 38
_symmetry_space_group_name_Hall 'A 2 -2'
_cell_length_a 4.428
_cell_length_b 4.330
_cell_length_c 13.940
_cell_angle_alpha 90.00
_cell_angle_beta 90.00
_cell_angle_gamma 90.00
loop_
_atom_site_label
_atom_site_type_symbol
_atom_site_fract_x
_atom_site_fract_y
_atom_site_fract_z
La1 La 0.000 0.000 0.000
Y1 Y 0.500 0.000 0.314
Te1 Te 0.000 0.000 0.768
Te2 Te 0.500 0.000 0.534
```



# 6
Material: LaYTe3
Method: DFT, PBE-GGA
State: relaxed

Computed properties:
* M_tot: 0.000 Bohr magnetons per cell
* relative energy among the computed polymorphs: 2.96 eV/f.u.
* uncorrected formation energy: -4.588 eV per formula unit

The structure in CIF format:
```
data_LaYTe3
_chemical_formula_sum 'La1 Y1 Te3'
_symmetry_space_group_name_H-M 'P m -3 m'
_symmetry_Int_Tables_number 221
_symmetry_space_group_name_Hall '-P 4 2 3'
_cell_length_a 5.759
_cell_length_b 5.759
_cell_length_c 5.759
_cell_angle_alpha 90.00
_cell_angle_beta 90.00
_cell_angle_gamma 90.00
loop_
_atom_site_label
_atom_site_type_symbol
_atom_site_fract_x
_atom_site_fract_y
_atom_site_fract_z
La1 La 0.000 0.000 0.000
Y1 Y 0.500 0.500 0.500
Te1 Te 0.000 0.500 0.500
```



# 7
Material: La2Y2Te
Method: DFT, PBE-GGA
State: relaxed

Computed properties:
* M_tot: 0.957 Bohr magnetons per cell
* relative energy among the computed polymorphs: 1.89 eV/f.u.
* uncorrected formation energy: 0.217 eV per formula unit

The structure in CIF format:
```
data_La2Y2Te
_chemical_formula_sum 'La4 Y4 Te2'
_symmetry_space_group_name_H-M 'I 4/m m m'
_symmetry_Int_Tables_number 139
_symmetry_space_group_name_Hall '-I 4 2'
_cell_length_a 4.148
_cell_length_b 4.148
_cell_length_c 19.623
_cell_angle_alpha 90.00
_cell_angle_beta 90.00
_cell_angle_gamma 90.00
loop_
_atom_site_label
_atom_site_type_symbol
_atom_site_fract_x
_atom_site_fract_y
_atom_site_fract_z
La1 La 0.000 0.500 0.250
Y1 Y 0.000 0.000 0.088
Te1 Te 0.000 0.000 0.500
```



# 8
Material: LaY2Te
Method: DFT, PBE-GGA
State: relaxed

Computed properties:
* M_tot: 0.001 Bohr magnetons per cell
* uncorrected formation energy: -1.938 eV per formula unit

The structure in CIF format:
```
data_LaY2Te
_chemical_formula_sum 'La1 Y2 Te1'
_symmetry_space_group_name_H-M 'P 4/m m m'
_symmetry_Int_Tables_number 123
_symmetry_space_group_name_Hall '-P 4 2'
_cell_length_a 4.886
_cell_length_b 4.886
_cell_length_c 4.862
_cell_angle_alpha 90.00
_cell_angle_beta 90.00
_cell_angle_gamma 90.00
loop_
_atom_site_label
_atom_site_type_symbol
_atom_site_fract_x
_atom_site_fract_y
_atom_site_fract_z
La1 La 0.000 0.000 0.000
Y1 Y 0.000 0.500 0.500
Te1 Te 0.500 0.500 0.000
```



# 9
Material: LaY5Te8
Method: DFT, PBE-GGA
State: relaxed

Computed properties:
* M_tot: 0.000 Bohr magnetons per cell
* uncorrected formation energy: -17.852 eV per formula unit

The structure in CIF format:
```
data_LaY5Te8
_chemical_formula_sum 'La4 Y20 Te32'
_symmetry_space_group_name_H-M 'F -4 3 m'
_symmetry_Int_Tables_number 216
_symmetry_space_group_name_Hall 'F -4 2 3'
_cell_length_a 12.909
_cell_length_b 12.909
_cell_length_c 12.909
_cell_angle_alpha 90.00
_cell_angle_beta 90.00
_cell_angle_gamma 90.00
loop_
_atom_site_label
_atom_site_type_symbol
_atom_site_fract_x
_atom_site_fract_y
_atom_site_fract_z
La1 La 0.000 0.000 0.000
Y1 Y 0.123 0.123 0.377
Y2 Y 0.250 0.250 0.750
Te1 Te 0.118 0.118 0.618
Te2 Te 0.137 0.137 0.137
```



# 10
Material: La2YTe3
Method: DFT, PBE-GGA
State: relaxed

Computed properties:
* M_tot: 0.005 Bohr magnetons per cell
* relative energy among the computed polymorphs: 0.00 eV/f.u.
* uncorrected formation energy: -9.013 eV per formula unit

The structure in CIF format:
```
data_La2YTe3
_chemical_formula_sum 'La32 Y16 Te48'
_symmetry_space_group_name_H-M 'F d d d'
_symmetry_Int_Tables_number 70
_cell_length_a 9.108
_cell_length_b 12.749
_cell_length_c 26.791
_cell_angle_alpha 90.00
_cell_angle_beta 90.00
_cell_angle_gamma 90.00
loop_
_symmetry_equiv_pos_as_xyz
'x,y,z'
'-x,-y,-z'
'-x+1/4,-y+1/4,z'
'x+1/4,y+1/4,-z'
'x,-y+1/4,-z+1/4'
'-x,y+1/4,z+1/4'
'-x+1/4,y,-z+1/4'
'x+1/4,-y,z+1/4'
'x,y+1/2,z+1/2'
'-x,-y+1/2,-z+1/2'
'-x+1/4,-y+3/4,z+1/2'
'x+1/4,y+3/4,-z+1/2'
'x,-y+3/4,-z+3/4'
'-x,y+3/4,z+3/4'
'-x+1/4,y+1/2,-z+3/4'
'x+1/4,-y+1/2,z+3/4'
'x+1/2,y,z+1/2'
'-x+1/2,-y,-z+1/2'
'-x+3/4,-y+1/4,z+1/2'
'x+3/4,y+1/4,-z+1/2'
'x+1/2,-y+1/4,-z+3/4'
'-x+1/2,y+1/4,z+3/4'
'-x+3/4,y,-z+3/4'
'x+3/4,-y,z+3/4'
'x+1/2,y+1/2,z'
'-x+1/2,-y+1/2,-z'
'-x+3/4,-y+3/4,z'
'x+3/4,y+3/4,-z'
'x+1/2,-y+3/4,-z+1/4'
'-x+1/2,y+3/4,z+1/4'
'-x+3/4,y+1/2,-z+1/4'
'x+3/4,-y+1/2,z+1/4'
loop_
_atom_site_label
_atom_site_type_symbol
_atom_site_fract_x
_atom_site_fract_y
_atom_site_fract_z
La1 La 0.125 0.125 0.044
La2 La 0.125 0.125 0.373
Y1 Y 0.125 0.125 0.542
Te1 Te 0.112 0.375 0.875
Te2 Te 0.119 0.369 0.711
```



# 11
Material: LaY5Te6
Method: DFT, PBE-GGA
State: relaxed

Computed properties:
* M_tot: 0.000 Bohr magnetons per cell
* uncorrected formation energy: -16.299 eV per formula unit

The structure in CIF format:
```
data_LaY5Te6
_chemical_formula_sum 'La2 Y10 Te12'
_symmetry_space_group_name_H-M 'C 1 2/m 1'
_symmetry_Int_Tables_number 12
_symmetry_space_group_name_Hall '-C 2y'
_cell_length_a 7.625
_cell_length_b 13.233
_cell_length_c 7.610
_cell_angle_alpha 90.00
_cell_angle_beta 109.59
_cell_angle_gamma 90.00
loop_
_atom_site_label
_atom_site_type_symbol
_atom_site_fract_x
_atom_site_fract_y
_atom_site_fract_z
La1 La 0.000 0.000 0.000
Y1 Y 0.000 0.157 0.500
Y2 Y 0.000 0.332 0.000
Y3 Y 0.000 0.500 0.500
Te1 Te 0.238 0.500 0.249
Te2 Te 0.242 0.328 0.741
```



# 12
Material: LaYTe2
Method: DFT, PBE-GGA
State: relaxed

Computed properties:
* M_tot: 0.002 Bohr magnetons per cell
* relative energy among the computed polymorphs: 0.01 eV/f.u.
* uncorrected formation energy: -5.826 eV per formula unit

The structure in CIF format:
```
data_LaYTe2
_chemical_formula_sum 'La3 Y3 Te6'
_symmetry_space_group_name_H-M 'R 3 m'
_symmetry_Int_Tables_number 160
_symmetry_space_group_name_Hall 'R 3 -2"'
_cell_length_a 4.3470
_cell_length_b 4.3470
_cell_length_c 23.3227
_cell_angle_alpha 90.00
_cell_angle_beta 90.00
_cell_angle_gamma 120.00
loop_
_atom_site_label
_atom_site_type_symbol
_atom_site_fract_x
_atom_site_fract_y
_atom_site_fract_z
La1 La 0.0000 0.0000 0.0000
Y1 Y 0.0000 0.0000 0.8257
Te1 Te 0.0000 0.0000 0.2407
Te2 Te 0.0000 0.0000 0.4187
```